[1]
A geometry-optimized NaSr2AgI6 structure, computed with PBE-GGA.

```
10
Lattice="-7.360 0.652 -1.210 1.052 -2.153 -7.558 -1.006 -7.599 2.024" Properties=species:S:1:pos:R:3 pbc="T T T"
Sr -6.653 -0.441 -4.959
I -4.933 -3.005 -6.106
I -1.463 0.129 -0.241
Sr -7.682 -3.164 -0.168
Na -4.218 -4.500 -3.464
I -1.250 -4.763 -2.976
I -5.445 -6.872 -5.076
I -5.981 -5.777 -1.229
I -5.469 -1.909 -2.260
Ag -4.191 0.371 -0.689
```


[2]
A geometry-optimized NaTbAg2I6 structure, computed with PBE-GGA.

```
10
Lattice="7.877 -0.001 -0.002 -3.939 6.821 0.000 -3.936 -2.272 7.432" Properties=species:S:1:pos:R:3 pbc="T T T"
I -2.716 -0.055 5.488
I 2.838 4.661 1.647
Ag 0.061 4.578 1.481
I 2.535 0.118 1.648
Ag 0.061 0.030 5.655
Na 3.996 2.301 3.567
I -2.416 4.488 5.488
Tb 0.060 4.578 7.283
I -1.255 2.130 1.649
I 1.376 2.477 5.487
```


[3]
A geometry-optimized Na2TbAgI6 structure, computed with PBE-GGA.

```
10
Lattice="7.921 0.003 -0.015 3.961 6.866 -0.002 3.978 2.284 7.542" Properties=species:S:1:pos:R:3 pbc="T T T"
I 9.153 2.505 5.532
Na 7.920 4.573 3.173
I 6.508 2.201 1.606
I 5.530 4.556 5.548
I 10.694 4.535 1.608
I 6.583 6.996 1.607
I 9.119 6.670 5.536
Ag 11.897 6.868 5.725
Tb 3.963 2.293 0.058
Na 3.976 2.279 7.355
```


[4]
A geometry-optimized NaTcAgI6 structure, computed with PBE-GGA.

```
18
Lattice="-0.179 5.117 -5.535 -6.435 -2.824 2.733 -0.434 9.538 8.832" Properties=species:S:1:pos:R:3 pbc="T T T"
Tc -4.675 6.977 6.601
Na -2.590 9.624 3.845
I -4.722 6.639 9.344
I -4.720 7.311 3.858
Na -4.458 2.208 2.185
I -0.374 2.960 -0.806
I -4.256 2.856 -0.885
I -2.792 8.976 6.916
I -2.327 4.521 2.172
Tc -2.373 4.855 -0.571
Ag 0.000 0.000 0.000
I -0.537 6.906 -0.315
Ag -0.217 4.769 4.416
I -4.415 6.694 -0.277
I -2.633 5.138 6.308
I -6.510 4.926 6.346
I -6.673 8.872 6.837
I -2.326 5.193 -3.314
```


[5]
A geometry-optimized NaAgTe2I structure, computed with PBE-GGA.

```
5
Lattice="5.457 0.000 0.000 0.000 5.457 0.000 0.000 0.000 6.068" Properties=species:S:1:pos:R:3 pbc="T T T"
Te 2.728 0.000 0.000
Te 0.000 2.728 0.000
Na 2.728 2.728 3.034
Ag 0.000 0.000 0.000
I 0.000 0.000 3.034
```


[6]
A geometry-optimized Na2AgTeI structure, computed with PBE-GGA.

```
5
Lattice="5.974 0.000 0.000 0.000 5.974 0.000 0.000 0.000 5.239" Properties=species:S:1:pos:R:3 pbc="T T T"
I 2.987 2.987 2.619
Na 0.000 2.987 0.000
Te 0.000 0.000 0.000
Ag 0.000 0.000 2.619
Na 2.987 0.000 0.000
```


The calculation returns the following uncorrected energy values, one per record and in order: -2.815; -2.967; -3.039; -2.962; -2.424; -2.670 eV/atom.